(1)
Here is RbBe3Sb after structural relaxation from Alexandria. Energies are from PBE-GGA.

Lattice parameters (Å, degrees): 5.0745 5.0745 5.0745 90.00 90.00 90.00
Closest atoms and distances in Å follow each position.
Fractional positions:
Be 0.0000 0.0000 0.5000  2 Sb 2.54
Be 0.5000 0.0000 0.0000  2 Sb 2.54
Be 0.0000 0.5000 0.0000  2 Sb 2.54
Rb 0.5000 0.5000 0.5000  12 Be 3.59
Sb 0.0000 0.0000 0.0000  6 Be 2.54

Summary:
**SG**: No. 221
**Total moment**: 0.0 μB per cell
**Electronic total energy**: -10.6 eV/cell
**Offset from the most stable computed form**: 0.000 eV per atom
**Volume**: 131 Å³ per cell

=====

(2)
Here is CaLa3Ir after structural relaxation from Alexandria. Energies are from PBE-GGA.

Lattice parameters (Å, degrees): 8.2113 8.2113 6.4717 90.00 90.00 130.90
Closest atoms and distances in Å follow each position.
Fractional positions:
La 0.0000 0.0000 0.5000  2 Ir 2.91, 2 La 3.24
La 0.0493 0.4373 0.2500  1 Ir 2.77
La 0.9507 0.5627 0.7500  1 Ir 2.77
La 0.4373 0.0493 0.7500  1 Ir 2.77
La 0.0000 0.0000 0.0000  2 Ir 2.91, 2 La 3.24
La 0.5627 0.9507 0.2500  1 Ir 2.77
Ca 0.4262 0.5738 0.7500  2 Ir 3.66, 10 La 3.84-4.09, 2 Ca 3.92
Ca 0.5738 0.4262 0.2500  2 Ir 3.66, 10 La 3.84-4.09, 2 Ca 3.92
Ir 0.1620 0.8380 0.2500  4 La 2.77-2.91
Ir 0.8380 0.1620 0.7500  4 La 2.77-2.91

Summary:
**SG**: No. 63
**Total moment**: 0.0 μB per cell
**Electronic total energy**: -53.4 eV/cell
**Offset from the most stable computed form**: 0.142 eV per atom
**Energy of formation**: -0.208 eV per atom
**Volume**: 330 Å³ per cell

=====

(3)
Here is InP2Br after structural relaxation from Alexandria. Energies are from PBE-GGA.

Lattice parameters (Å, degrees): 6.9926 6.9926 6.9926 33.21 33.21 33.21
Closest atoms and distances in Å follow each position.
Fractional positions:
P 0.4842 0.4842 0.4842  3 In 2.67
P 0.0158 0.0158 0.0158  3 In 2.67
In 0.7500 0.7500 0.7500  6 P 2.67
Br 0.2500 0.2500 0.2500  6 P 3.03

Summary:
**SG**: No. 166
**Total moment**: 0.0 μB per cell
**Electronic total energy**: -13.5 eV/cell
**Offset from the most stable computed form**: 0.537 eV per atom
**Volume**: 91 Å³ per cell

=====

(4)
Here is Tl2H2Au after structural relaxation from Alexandria. Energies are from PBE-GGA.

Lattice parameters (Å, degrees): 8.0508 8.0508 3.2106 90.00 90.00 90.00
Closest atoms and distances in Å follow each position.
Fractional positions:
H 0.0338 0.4662 0.5000  1 H 0.77
H 0.5338 0.0338 0.5000  1 H 0.77
H 0.9662 0.5338 0.5000  1 H 0.77
H 0.4662 0.9662 0.5000  1 H 0.77
Tl 0.7477 0.2477 0.0000  2 Au 2.85, 2 H 2.92
Tl 0.2477 0.2523 0.0000  2 Au 2.85, 2 H 2.92
Tl 0.7523 0.7477 0.0000  2 Au 2.85, 2 H 2.92
Tl 0.2523 0.7523 0.0000  2 Au 2.85, 2 H 2.92
Au 0.5000 0.5000 0.0000  4 Tl 2.85
Au 0.0000 0.0000 0.0000  4 Tl 2.85

Summary:
**SG**: No. 127
**Total moment**: 0.0 μB per cell
**Electronic total energy**: -28.0 eV/cell
**Offset from the most stable computed form**: 0.128 eV per atom
**Volume**: 208 Å³ per cell